No. 1
## LaAl2P (meta-GGA SCAN)

Data for LaAl2P at its PBEsol-relaxed geometry.

abc: 5.7339 6.8370 4.4936
angles: 90.00 90.00 90.00
Last column: nearest neighbours and their distance in Å.
Space group Cmmm (No. 65)
Asymmetric unit:
La: 0.0000 0.0000 0.0000 (multiplicity 2)  2 P 2.87, 4 Al 3.10
Al: 0.0000 0.3119 0.5000 (multiplicity 4)  1 Al 2.57, 2 P 2.59
P: 0.0000 0.5000 0.0000 (multiplicity 2)  4 Al 2.59, 2 La 2.87

Magnetic moment   0.00 μB per cell
Calculated formation energy   -468 meV/atom



No. 2
## CrHgIr2 (meta-GGA SCAN)

Data for CrHgIr2 at its PBEsol-relaxed geometry.

abc: 2.7504 4.7095 9.3163
angles: 90.00 90.00 90.00
Last column: nearest neighbours and their distance in Å.
Space group Cmm2 (No. 35)
Asymmetric unit:
Cr: 0.0000 0.0000 0.0000 (multiplicity 2)  2 Ir 2.46, 6 Cr 2.73-2.75
Hg: 0.0000 0.5000 0.7387 (multiplicity 2)  6 Hg 2.73-2.75, 2 Cr 2.80, 2 Ir 2.85
Ir: 0.0000 0.0000 0.4703 (multiplicity 2)  8 Ir 2.71-2.75, 2 Hg 2.85
Ir: 0.0000 0.5000 0.2192 (multiplicity 2)  2 Cr 2.46, 8 Ir 2.71-2.75

Magnetic moment   0.00 μB per cell
Calculated formation energy   567 meV/atom



No. 3
## KPb2Au (meta-GGA SCAN)

Data for KPb2Au at its PBEsol-relaxed geometry.

abc: 4.7050 4.7050 19.5660
angles: 90.00 90.00 120.00
Last column: nearest neighbours and their distance in Å.
Space group R-3m (No. 166, hexagonal axes)
Asymmetric unit:
K: 0.0000 0.0000 0.0000 (multiplicity 3)  6 Pb 3.54
Pb: 0.0000 0.0000 0.2176 (multiplicity 6)  3 Au 2.89
Au: 0.0000 0.0000 0.5000 (multiplicity 3)  6 Pb 2.89

Magnetic moment   0.00 μB per cell
Calculated formation energy   -285 meV/atom



No. 4
## Ca2CoTeO6 (meta-GGA SCAN)

Data for Ca2CoTeO6 at its PBEsol-relaxed geometry.

abc: 5.4105 5.5925 9.3438
angles: 90.00 124.81 90.00
Last column: nearest neighbours and their distance in Å.
Space group P2_1/c (No. 14)
Asymmetric unit:
Ca: 0.2342 0.0548 0.2489 (multiplicity 4)  6 O 2.32-2.58
Co: 0.0000 0.0000 0.5000 (multiplicity 2)  6 O 2.03-2.07
Te: 0.5000 0.0000 0.0000 (multiplicity 2)  6 O 1.96-1.97
O: 0.1603 0.1951 0.9537 (multiplicity 4)  1 Te 1.96, 1 Co 2.07
O: 0.2561 0.7110 0.9489 (multiplicity 4)  1 Te 1.97, 1 Co 2.07
O: 0.3491 0.0322 0.7538 (multiplicity 4)  1 Te 1.96, 1 Co 2.03

Magnetic moment   6.00 μB per cell
Formation energy from raw total energies   -2.17 eV/atom



No. 5
## YAl2Os (meta-GGA SCAN)

Data for YAl2Os at its PBEsol-relaxed geometry.

abc: 3.2325 3.2325 6.8606
angles: 90.00 90.00 90.00
Last column: nearest neighbours and their distance in Å.
Space group P4mm (No. 99)
Asymmetric unit:
Y: 0.0000 0.0000 0.0000 (multiplicity 1)  4 Os 2.98, 5 Al 3.03-3.21, 4 Y 3.23
Al: 0.0000 0.0000 0.5583 (multiplicity 1)  4 Os 2.55, 4 Al 2.78
Al: 0.5000 0.5000 0.3288 (multiplicity 1)  1 Os 2.70, 4 Al 2.78
Os: 0.5000 0.5000 0.7220 (multiplicity 1)  5 Al 2.55-2.70

Magnetic moment   0.00 μB per cell
Calculated formation energy   -455 meV/atom



No. 6
## CsRb3S (meta-GGA SCAN)

Data for CsRb3S at its PBEsol-relaxed geometry.

abc: 7.4619 7.4619 7.4619
angles: 90.00 90.00 90.00
Last column: nearest neighbours and their distance in Å.
Space group Pm-3m (No. 221)
Asymmetric unit:
Cs: 0.0000 0.0000 0.0000 (multiplicity 1)  6 Rb 3.73
Rb: 0.0000 0.0000 0.5000 (multiplicity 3)  2 Cs 3.73
S: 0.5000 0.5000 0.5000 (multiplicity 1)  12 Rb 5.28

Magnetic moment   0.00 μB per cell
Formation energy from raw total energies   0.49 eV/atom



No. 7
## Zn2FeNi (meta-GGA SCAN)

Data for Zn2FeNi at its PBEsol-relaxed geometry.

abc: 2.5981 2.5981 6.9772
angles: 90.00 90.00 90.00
Last column: nearest neighbours and their distance in Å.
Space group P4/mmm (No. 123)
Asymmetric unit:
Zn: 0.0000 0.0000 0.2407 (multiplicity 2)  4 Ni 2.49, 4 Fe 2.58, 4 Zn 2.60
Fe: 0.5000 0.5000 0.5000 (multiplicity 1)  8 Zn 2.58, 4 Fe 2.60
Ni: 0.5000 0.5000 0.0000 (multiplicity 1)  8 Zn 2.49, 4 Ni 2.60

Magnetic moment   2.48 μB per cell
Calculated formation energy   -127 meV/atom



No. 8
## Ca2MnAgI (meta-GGA SCAN)

Data for Ca2MnAgI at its PBEsol-relaxed geometry.

abc: 5.7344 5.7344 4.8471
angles: 90.00 90.00 90.00
Last column: nearest neighbours and their distance in Å.
Space group P4/mmm (No. 123)
Asymmetric unit:
Ca: 0.0000 0.5000 0.0000 (multiplicity 2)  2 Ag 2.87
Mn: 0.0000 0.0000 0.5000 (multiplicity 1)  2 Ag 2.42
Ag: 0.0000 0.0000 0.0000 (multiplicity 1)  2 Mn 2.42
I: 0.5000 0.5000 0.5000 (multiplicity 1)  8 Ca 3.75, 4 Mn 4.05

Magnetic moment   4.07 μB per cell
Formation energy from raw total energies   -0.20 eV/atom